Compound: Ce2Ga3Ru2
Source: Alexandria
Functional: PBE
Structure: relaxed Values from VASP.

N(E_F) = 0.93 states/eV per atom
final energy = -6.2207 eV/atom

```
&SYSTEM
  ibrav = 0, nat = 7, ntyp = 3
/
ATOMIC_SPECIES
Ce 140.12 Ce.upf
Ga 69.72 Ga.upf
Ru 101.07 Ru.upf
CELL_PARAMETERS angstrom
-4.095 -0.196 1.235
3.427 -1.175 3.758
-0.510 7.066 -0.574
ATOMIC_POSITIONS crystal
Ce 0.855 0.710 0.232
Ce 0.145 0.290 0.768
Ga 0.500 0.000 0.000
Ga 0.630 0.260 0.444
Ga 0.370 0.740 0.556
Ru 0.884 0.768 0.789
Ru 0.116 0.232 0.211
```

=====

Compound: Ce8Ga2Ru3
Source: Alexandria
Functional: PBE
Structure: relaxed Values from VASP.

N(E_F) = 2.54 states/eV per atom
final energy = -6.4232 eV/atom

```
&SYSTEM
  ibrav = 0, nat = 13, ntyp = 3
/
ATOMIC_SPECIES
Ce 140.12 Ce.upf
Ga 69.72 Ga.upf
Ru 101.07 Ru.upf
CELL_PARAMETERS angstrom
-6.502 -0.375 0.467
0.369 -7.043 -0.512
3.600 3.192 7.511
ATOMIC_POSITIONS crystal
Ce 0.037 0.676 0.352
Ce 0.963 0.324 0.648
Ce 0.944 0.097 0.194
Ce 0.056 0.903 0.806
Ce 0.569 0.619 0.805
Ce 0.569 0.186 0.805
Ce 0.431 0.814 0.195
Ce 0.431 0.381 0.195
Ga 0.399 0.234 0.469
Ga 0.601 0.766 0.531
Ru 0.500 0.000 0.000
Ru 0.000 0.304 0.000
Ru 0.000 0.696 0.000
```

=====

Compound: Ce2GaRu
Source: Alexandria
Functional: PBE
Structure: relaxed Values from VASP.

N(E_F) = 2.65 states/eV per atom
final energy = -5.9354 eV/atom

```
&SYSTEM
  ibrav = 0, nat = 4, ntyp = 3
/
ATOMIC_SPECIES
Ru 101.07 Ru.upf
Ga 69.72 Ga.upf
Ce 140.12 Ce.upf
CELL_PARAMETERS angstrom
3.861 0.000 0.000
1.930 3.344 0.000
1.930 1.115 9.479
ATOMIC_POSITIONS crystal
Ru 0.500 0.500 0.500
Ga 0.000 0.000 0.000
Ce 0.111 0.111 0.667
Ce 0.889 0.889 0.333
```

=====

Compound: CeGaRu2
Source: Alexandria
Functional: PBE
Structure: relaxed Values from VASP.

N(E_F) = 0.68 states/eV per atom
final energy = -7.1513 eV/atom

```
&SYSTEM
  ibrav = 0, nat = 4, ntyp = 3
/
ATOMIC_SPECIES
Ru 101.07 Ru.upf
Ga 69.72 Ga.upf
Ce 140.12 Ce.upf
CELL_PARAMETERS angstrom
3.278 0.000 0.000
0.000 3.278 0.000
0.000 0.000 6.382
ATOMIC_POSITIONS crystal
Ru 0.000 0.000 0.778
Ru 0.000 0.000 0.222
Ga 0.500 0.500 0.000
Ce 0.500 0.500 0.500
```

=====

Compound: Ce11Ga9Ru4
Source: Alexandria
Functional: PBE
Structure: relaxed Values from VASP.

N(E_F) = 1.62 states/eV per atom
final energy = -5.9398 eV/atom

```
&SYSTEM
  ibrav = 0, nat = 24, ntyp = 3
/
ATOMIC_SPECIES
Ce 140.12 Ce.upf
Ga 69.72 Ga.upf
Ru 101.07 Ru.upf
CELL_PARAMETERS angstrom
-3.179 1.815 0.794
-5.800 -10.793 1.452
4.940 4.031 10.563
ATOMIC_POSITIONS crystal
Ce 0.000 0.582 0.938
Ce 0.000 0.418 0.062
Ce 0.000 0.938 0.582
Ce 0.000 0.062 0.418
Ce 0.000 0.627 0.373
Ce 0.000 0.373 0.627
Ce 0.000 0.841 0.159
Ce 0.000 0.159 0.841
Ce 0.000 0.000 0.000
Ce 0.000 0.691 0.691
Ce 0.000 0.309 0.309
Ga 0.500 0.634 0.167
Ga 0.500 0.366 0.833
Ga 0.500 0.167 0.634
Ga 0.500 0.833 0.366
Ga 0.500 0.780 0.923
Ga 0.500 0.220 0.077
Ga 0.500 0.923 0.780
Ga 0.500 0.077 0.220
Ga 0.500 0.500 0.500
Ru 0.500 0.555 0.759
Ru 0.500 0.445 0.241
Ru 0.500 0.759 0.555
Ru 0.500 0.241 0.445
```

=====

Compound: Ce4GaRu
Source: Alexandria
Functional: PBE
Structure: relaxed Values from VASP.

energy above the most stable polymorph in this dataset = 0.14 eV/f.u.
N(E_F) = 2.33 states/eV per atom
final energy = -6.3026 eV/atom

```
&SYSTEM
  ibrav = 0, nat = 12, ntyp = 3
/
ATOMIC_SPECIES
Ce 140.12 Ce.upf
Ga 69.72 Ga.upf
Ru 101.07 Ru.upf
CELL_PARAMETERS angstrom
4.813 0.000 -2.160
0.000 6.611 0.000
-0.322 0.000 9.202
ATOMIC_POSITIONS crystal
Ce 0.634 0.250 0.452
Ce 0.366 0.750 0.548
Ce 0.666 0.250 0.883
Ce 0.334 0.750 0.117
Ce 0.940 0.040 0.240
Ce 0.060 0.540 0.760
Ce 0.940 0.460 0.240
Ce 0.060 0.960 0.760
Ga 0.316 0.250 0.077
Ga 0.684 0.750 0.923
Ru 0.312 0.250 0.588
Ru 0.688 0.750 0.412
```

=====

Compound: Ce4GaRu5
Source: Alexandria
Functional: PBE
Structure: relaxed Values from VASP.

N(E_F) = 0.88 states/eV per atom
final energy = -7.6070 eV/atom

```
&SYSTEM
  ibrav = 0, nat = 10, ntyp = 3
/
ATOMIC_SPECIES
Ce 140.12 Ce.upf
Ga 69.72 Ga.upf
Ru 101.07 Ru.upf
CELL_PARAMETERS angstrom
5.562 0.000 0.000
2.781 5.970 0.000
2.781 0.000 5.970
ATOMIC_POSITIONS crystal
Ce 0.388 0.396 0.790
Ce 0.784 0.790 0.604
Ce 0.178 0.210 0.396
Ce 0.574 0.604 0.210
Ga 0.171 0.000 0.000
Ru 0.876 0.327 0.817
Ru 0.203 0.817 0.673
Ru 0.693 0.183 0.327
Ru 0.020 0.673 0.183
Ru 0.624 0.000 0.000
```

=====

Compound: Ce2Ga9Ru3
Source: Alexandria
Functional: PBE
Structure: relaxed Values from VASP.

N(E_F) = 0.57 states/eV per atom
final energy = -5.3219 eV/atom

```
&SYSTEM
  ibrav = 0, nat = 28, ntyp = 3
/
ATOMIC_SPECIES
Ce 140.12 Ce.upf
Ga 69.72 Ga.upf
Ru 101.07 Ru.upf
CELL_PARAMETERS angstrom
-4.050 2.055 6.063
-0.771 -7.011 -2.763
7.093 -3.056 5.774
ATOMIC_POSITIONS crystal
Ce 0.000 0.673 0.250
Ce 0.000 0.327 0.750
Ce 0.673 0.000 0.250
Ce 0.327 0.000 0.750
Ga 0.131 0.131 0.250
Ga 0.869 0.869 0.750
Ga 0.008 0.337 0.078
Ga 0.992 0.663 0.922
Ga 0.992 0.663 0.578
Ga 0.337 0.008 0.422
Ga 0.008 0.337 0.422
Ga 0.663 0.992 0.578
Ga 0.663 0.992 0.922
Ga 0.337 0.008 0.078
Ga 0.337 0.337 0.559
Ga 0.663 0.663 0.441
Ga 0.663 0.663 0.059
Ga 0.337 0.337 0.941
Ga 0.340 0.551 0.250
Ga 0.660 0.449 0.750
Ga 0.551 0.340 0.250
Ga 0.449 0.660 0.750
Ru 0.674 0.326 0.000
Ru 0.326 0.674 0.000
Ru 0.326 0.674 0.500
Ru 0.674 0.326 0.500
Ru 0.000 0.000 0.000
Ru 0.000 0.000 0.500
```

=====

Compound: Ce4Ga2Ru
Source: Alexandria
Functional: PBE
Structure: relaxed Values from VASP.

energy above the most stable polymorph in this dataset = 0.02 eV/f.u.
N(E_F) = 2.09 states/eV per atom
final energy = -5.9336 eV/atom

```
&SYSTEM
  ibrav = 0, nat = 7, ntyp = 3
/
ATOMIC_SPECIES
Ru 101.07 Ru.upf
Ga 69.72 Ga.upf
Ce 140.12 Ce.upf
CELL_PARAMETERS angstrom
-2.890 3.189 1.540
-1.476 -3.513 4.503
4.443 2.663 2.822
ATOMIC_POSITIONS crystal
Ru 0.500 0.500 0.500
Ga 0.000 0.672 0.328
Ga 0.000 0.328 0.672
Ce 0.000 0.830 0.830
Ce 0.000 0.170 0.170
Ce 0.500 0.000 0.500
Ce 0.500 0.500 0.000
```

=====

Compound: CeGa4Ru
Source: Alexandria
Functional: PBE
Structure: relaxed Values from VASP.

N(E_F) = 0.69 states/eV per atom
final energy = -5.0781 eV/atom

```
&SYSTEM
  ibrav = 0, nat = 12, ntyp = 3
/
ATOMIC_SPECIES
Ce 140.12 Ce.upf
Ga 69.72 Ga.upf
Ru 101.07 Ru.upf
CELL_PARAMETERS angstrom
-2.711 -3.077 0.898
5.006 -4.669 -0.882
1.822 0.556 7.404
ATOMIC_POSITIONS crystal
Ce 0.000 0.628 0.750
Ce 0.000 0.372 0.250
Ga 0.000 0.000 0.500
Ga 0.000 0.000 0.000
Ga 0.500 0.954 0.750
Ga 0.500 0.046 0.250
Ga 0.500 0.682 0.063
Ga 0.500 0.318 0.937
Ga 0.500 0.682 0.437
Ga 0.500 0.318 0.563
Ru 0.000 0.210 0.750
Ru 0.000 0.790 0.250
```

=====

Compound: Ce2Ga2Ru3
Source: Alexandria
Functional: PBE
Structure: relaxed Values from VASP.

energy above the most stable polymorph in this dataset = 0.00 eV/f.u.
N(E_F) = 0.54 states/eV per atom
final energy = -6.9715 eV/atom

```
&SYSTEM
  ibrav = 0, nat = 7, ntyp = 3
/
ATOMIC_SPECIES
Ce 140.12 Ce.upf
Ga 69.72 Ga.upf
Ru 101.07 Ru.upf
CELL_PARAMETERS angstrom
-0.348 -2.503 3.554
5.914 -1.635 -0.573
0.392 5.336 1.121
ATOMIC_POSITIONS crystal
Ce 0.372 0.189 0.744
Ce 0.628 0.811 0.256
Ga 0.104 0.414 0.209
Ga 0.896 0.586 0.791
Ru 0.000 0.000 0.000
Ru 0.324 0.715 0.647
Ru 0.676 0.285 0.353
```

=====

Compound: Ce12GaRu6
Source: Alexandria
Functional: PBE
Structure: relaxed Values from VASP.

N(E_F) = 2.15 states/eV per atom
final energy = -6.9604 eV/atom

```
&SYSTEM
  ibrav = 0, nat = 19, ntyp = 3
/
ATOMIC_SPECIES
Ce 140.12 Ce.upf
Ga 69.72 Ga.upf
Ru 101.07 Ru.upf
CELL_PARAMETERS angstrom
8.001 0.147 0.176
-1.068 7.931 0.176
-1.068 -1.244 7.835
ATOMIC_POSITIONS crystal
Ce 0.809 0.598 0.436
Ce 0.436 0.809 0.598
Ce 0.598 0.436 0.809
Ce 0.191 0.402 0.564
Ce 0.564 0.191 0.402
Ce 0.402 0.564 0.191
Ce 0.076 0.952 0.351
Ce 0.048 0.649 0.924
Ce 0.649 0.924 0.048
Ce 0.924 0.048 0.649
Ce 0.952 0.351 0.076
Ce 0.351 0.076 0.952
Ga 0.000 0.000 0.000
Ru 0.666 0.869 0.362
Ru 0.638 0.334 0.131
Ru 0.131 0.638 0.334
Ru 0.334 0.131 0.638
Ru 0.362 0.666 0.869
Ru 0.869 0.362 0.666
```

=====

Listing total magnetic moment for the structures above in their given order: 0.00, 4.65, 1.37, 0.00, 2.72, 1.95, 0.00, 0.00, 1.14, 0.75, 0.00, 3.11 Bohr magnetons per cell.
Listing ΔH_f (0 K) for the structures above in their given order: -0.578, -0.165, 0.107, -0.273, -0.539, -0.296, -0.293, -0.541, -0.353, -0.525, -0.436, -0.124 eV per atom.